The following is a PBE-GGA calculation of crystalline Hf2CoTeAs at its relaxed geometry, from the Alexandria database.

It has space group P4/mmm (No. 123), with a = 4.9348 Å, b = 4.9348 Å, c = 4.4578 Å, α = 90.00°, β = 90.00° and γ = 90.00°. The inequivalent atoms are Hf at (0.0000, 0.5000, 0.0000), Co at (0.0000, 0.0000, 0.0000), Te at (0.0000, 0.0000, 0.5000) and As at (0.5000, 0.5000, 0.5000).

As for the energy relative to the elements, uncorrected: 0.16 eV/atom.